Computed, not measured: a relaxed structure of ZnCo2Se at the PBE level of DFT.

a b c (Å): 2.976 2.976 5.801
angles (deg): 90.00 90.00 90.03
Sites, in units of the cell vectors:
Co  0.000  0.000  0.008
Co  0.000  0.000  0.492
Zn  0.500  0.500  0.750
Se  0.500  0.500  0.250

Results
ΔE_f (raw), eV per formula unit: 0.51
Excess energy over the best structure of this formula in the dataset, eV/atom: 0.015

***

Computed, not measured: a relaxed structure of ZnCo2Se4 at the PBE level of DFT.

a b c (Å): 7.207 7.207 7.208
angles (deg): 60.01 60.01 90.00
Sites, in units of the cell vectors:
Co  0.500  0.000  0.000
Co  0.500  0.000  0.500
Co  0.000  0.000  0.000
Co  0.500  0.500  0.500
Se  0.266  0.234  0.968
Se  0.734  0.203  0.032
Se  0.703  0.234  0.532
Se  0.266  0.797  0.968
Se  0.266  0.234  0.532
Se  0.297  0.766  0.468
Se  0.734  0.766  0.032
Se  0.734  0.766  0.468
Zn  0.125  0.375  0.250
Zn  0.875  0.625  0.750

Results
ΔE_f (raw), eV per formula unit: -2.57

***

Computed, not measured: a relaxed structure of Zn2CoSe at the PBE level of DFT.

a b c (Å): 4.990 4.990 4.990
angles (deg): 136.50 136.90 62.90
Sites, in units of the cell vectors:
Zn  0.000  0.000  0.000
Zn  0.500  0.500  0.000
Se  0.750  0.250  0.500
Co  0.250  0.750  0.500

Results
ΔE_f (raw), eV per formula unit: 0.72

***

Computed, not measured: a relaxed structure of Zn2CoSe at the PBE level of DFT.

a b c (Å): 2.879 2.879 7.684
angles (deg): 90.00 90.00 90.00
Sites, in units of the cell vectors:
Zn  0.500  0.500  0.282
Zn  0.000  0.000  0.042
Se  0.500  0.500  0.671
Co  0.000  0.000  0.505

Results
ΔE_f (raw), eV per formula unit: 0.26

***

Computed, not measured: a relaxed structure of ZnCoSe at the PBE level of DFT.

a b c (Å): 4.036 4.036 4.036
angles (deg): 60.00 60.00 60.00
Sites, in units of the cell vectors:
Co  0.750  0.750  0.750
Se  0.000  0.000  0.000
Zn  0.500  0.500  0.500

Results
ΔE_f (raw), eV per formula unit: -0.06
Excess energy over the best structure of this formula in the dataset, eV/atom: 0.000

***

Computed, not measured: a relaxed structure of Zr2CoSe at the PBE level of DFT.

a b c (Å): 3.329 3.329 6.514
angles (deg): 90.00 90.00 90.00
Sites, in units of the cell vectors:
Zr  0.000  0.000  0.489
Zr  0.000  0.000  0.011
Co  0.500  0.500  0.250
Se  0.500  0.500  0.750

Results
ΔE_f (raw), eV per formula unit: -2.04

***

Computed, not measured: a relaxed structure of Zr4CoSe at the PBE level of DFT.

a b c (Å): 5.657 5.657 5.657
angles (deg): 60.00 60.00 60.00
Sites, in units of the cell vectors:
Se  0.000  0.000  0.000
Zr  0.376  0.871  0.376
Zr  0.871  0.376  0.376
Zr  0.376  0.376  0.376
Zr  0.376  0.376  0.871
Co  0.750  0.750  0.750

Results
ΔE_f (raw), eV per formula unit: 3.29

***

Computed, not measured: a relaxed structure of ZrCoSe at the PBE level of DFT.

a b c (Å): 4.387 4.387 4.387
angles (deg): 60.00 60.00 60.00
Sites, in units of the cell vectors:
Co  0.000  0.000  0.000
Zr  0.250  0.250  0.250
Se  0.500  0.500  0.500

Results
ΔE_f (raw), eV per formula unit: -0.24
Excess energy over the best structure of this formula in the dataset, eV/atom: 0.629

***

Computed, not measured: a relaxed structure of ZrCo2Se2 at the PBE level of DFT.

a b c (Å): 7.066 7.066 3.134
angles (deg): 90.00 90.00 90.00
Sites, in units of the cell vectors:
Se  0.659  0.159  0.000
Se  0.341  0.841  0.000
Se  0.159  0.341  0.000
Se  0.841  0.659  0.000
Zr  0.500  0.500  0.000
Zr  0.000  0.000  0.000
Co  0.864  0.364  0.500
Co  0.136  0.636  0.500
Co  0.364  0.136  0.500
Co  0.636  0.864  0.500

Results
ΔE_f (raw), eV per formula unit: -0.81
Excess energy over the best structure of this formula in the dataset, eV/atom: 0.153

***

Computed, not measured: a relaxed structure of ZrCoSe at the PBE level of DFT.

a b c (Å): 3.941 3.941 3.580
angles (deg): 90.00 90.00 120.00
Sites, in units of the cell vectors:
Co  0.000  0.000  0.146
Zr  0.333  0.667  0.674
Se  0.667  0.333  0.180

Results
ΔE_f (raw), eV per formula unit: -2.09
Excess energy over the best structure of this formula in the dataset, eV/atom: 0.012

***

Computed, not measured: a relaxed structure of Zr3CoSe at the PBE level of DFT.

a b c (Å): 4.838 4.838 4.838
angles (deg): 90.00 90.00 90.00
Sites, in units of the cell vectors:
Se  0.500  0.500  0.500
Co  0.000  0.000  0.000
Zr  0.500  0.000  0.000
Zr  0.000  0.000  0.500
Zr  0.000  0.500  0.000

Results
ΔE_f (raw), eV per formula unit: -0.01
Excess energy over the best structure of this formula in the dataset, eV/atom: 0.000

***

Computed, not measured: a relaxed structure of Zr2Co2Se at the PBE level of DFT.

a b c (Å): 3.378 3.378 7.933
angles (deg): 77.71 77.71 90.00
Sites, in units of the cell vectors:
Co  0.750  0.250  0.500
Co  0.250  0.750  0.500
Se  0.000  0.000  0.000
Zr  0.384  0.384  0.232
Zr  0.616  0.616  0.768

Results
ΔE_f (raw), eV per formula unit: -2.01
Excess energy over the best structure of this formula in the dataset, eV/atom: 0.000

***

Raw total energy / eV/atom: -4.6145; -4.5708; -3.1042; -3.2194; -3.9753; -7.4313; -6.9155; -6.4603; -6.1080; -7.0776; -7.2486; -7.3596